Record 1
# PmZnAg

PmZnAg after structural relaxation (PBE, Alexandria).

Unit cell a=4.7140 b=4.7133 c=6.9292 alpha=90.00 beta=90.00 gamma=120.00
With the nearest neighbours (Å) after each atom.
Sites, in units of the cell vectors:
Zn  0.3334  0.6668  0.2500  3 Ag 2.72
Zn  0.6666  0.3332  0.7500  3 Ag 2.72
Pm  0.0000  0.0000  0.5000  6 Ag 3.23, 6 Zn 3.23, 2 Pm 3.46
Pm  0.0000  0.0000  0.0000  6 Ag 3.23, 6 Zn 3.23, 2 Pm 3.46
Ag  0.6667  0.3334  0.2500  3 Zn 2.72
Ag  0.3333  0.6666  0.7500  3 Zn 2.72

Its space group is P6_3/mmc. For the calculated formation energy, the calculation gives -0.32 eV/atom. The energy above the most stable polymorph in this dataset is 0.000 eV per atom. The density of states at the Fermi level comes out at 2.9 states/eV per cell.

=====

Record 2
# PrGdHf

PrGdHf after structural relaxation (PBE, Alexandria).

Unit cell a=3.4324 b=3.4324 c=8.6602 alpha=90.00 beta=90.00 gamma=120.00
With the nearest neighbours (Å) after each atom.
Sites, in units of the cell vectors:
Pr  0.0000  0.0000  0.0239  3 Hf 3.36, 6 Pr 3.43
Hf  0.6667  0.3333  0.3371  3 Gd 3.28, 3 Pr 3.36, 6 Hf 3.43
Gd  0.3333  0.6667  0.6390  3 Hf 3.28, 6 Gd 3.43

Its space group is P3m1. For the calculated formation energy, the calculation gives 0.18 eV/atom. The energy above the most stable polymorph in this dataset is 0.020 eV per atom. The density of states at the Fermi level comes out at 3.9 states/eV per cell.

=====

Record 3
# ThCu4Pd8

ThCu4Pd8 after structural relaxation (PBE, Alexandria).

Unit cell a=5.0781 b=6.8080 c=6.8080 alpha=82.00 beta=68.10 gamma=68.10
With the nearest neighbours (Å) after each atom.
Sites, in units of the cell vectors:
Pd  0.3442  0.6558  0.6558  4 Cu 2.70, 5 Pd 2.78-2.87
Pd  0.5000  0.7815  0.2185  4 Cu 2.58, 6 Pd 2.76-2.87
Pd  0.0000  0.3442  0.6558  4 Cu 2.70, 5 Pd 2.78-2.87
Pd  0.7185  0.7815  0.7815  4 Cu 2.58, 6 Pd 2.76-2.87
Pd  0.2815  0.2185  0.2185  4 Cu 2.58, 6 Pd 2.76-2.87
Pd  0.0000  0.6558  0.3442  4 Cu 2.70, 5 Pd 2.78-2.87
Pd  0.5000  0.2185  0.7815  4 Cu 2.58, 6 Pd 2.76-2.87
Pd  0.6558  0.3442  0.3442  4 Cu 2.70, 5 Pd 2.78-2.87
Cu  0.0000  0.0000  0.5000  2 Cu 2.54, 8 Pd 2.58-2.70
Cu  0.0000  0.5000  0.0000  2 Cu 2.54, 8 Pd 2.58-2.70
Cu  0.5000  0.0000  0.5000  2 Cu 2.54, 8 Pd 2.58-2.70
Cu  0.5000  0.5000  0.0000  2 Cu 2.54, 8 Pd 2.58-2.70
Th  0.0000  0.0000  0.0000  12 Pd 3.07-3.20, 8 Cu 3.40

Its space group is I4/mmm. For the calculated formation energy, the calculation gives -0.38 eV/atom. The density of states at the Fermi level comes out at 5.5 states/eV per cell.

=====

Record 4
# Sr2IrPt

Sr2IrPt after structural relaxation (PBE, Alexandria).

Unit cell a=5.8145 b=5.8145 c=5.8145 alpha=135.72 beta=135.72 gamma=64.41
With the nearest neighbours (Å) after each atom.
Sites, in units of the cell vectors:
Pt  0.7500  0.2500  0.5000  8 Sr 3.10-3.29, 4 Ir 3.29
Sr  0.2500  0.7500  0.5000  4 Pt 3.10, 4 Ir 3.29, 4 Sr 3.29
Sr  0.0000  0.0000  0.0000  4 Ir 3.10, 4 Pt 3.29, 4 Sr 3.29
Ir  0.5000  0.5000  0.0000  8 Sr 3.10-3.29, 4 Pt 3.29

Its space group is I-4m2. For the calculated formation energy, the calculation gives -0.06 eV/atom. The density of states at the Fermi level comes out at 4.2 states/eV per cell.

=====

Record 5
# AlHgSe

AlHgSe after structural relaxation (PBE, Alexandria).

Unit cell a=3.7548 b=3.7548 c=14.5269 alpha=90.00 beta=90.00 gamma=120.00
With the nearest neighbours (Å) after each atom.
Sites, in units of the cell vectors:
Al  0.5552  0.1105  0.3186  3 Se 2.47, 1 Hg 2.64
Al  0.5552  0.1105  0.6814  3 Se 2.47, 1 Hg 2.64
Se  0.2219  0.4438  0.2371  3 Al 2.47
Se  0.2219  0.4438  0.7629  3 Al 2.47
Hg  0.5570  0.1141  0.0000  6 Hg 3.75, 6 Se 4.07-4.08
Hg  0.5552  0.1104  0.5000  2 Al 2.64

Its space group is Amm2. The energy above the most stable polymorph in this dataset is 0.000 eV per atom. The formation energy from raw total energies comes out at -421 meV/atom. The density of states at the Fermi level comes out at 0.3 states/eV per cell.

=====

Record 6
# LiScPb

LiScPb after structural relaxation (PBE, Alexandria).

Unit cell a=4.4615 b=4.4615 c=7.6563 alpha=90.00 beta=90.00 gamma=90.00
With the nearest neighbours (Å) after each atom.
Sites, in units of the cell vectors:
Li  0.5000  0.0000  0.8447  5 Pb 2.89-3.20
Li  0.0000  0.5000  0.1553  5 Pb 2.89-3.20
Sc  0.5000  0.5000  0.5000  4 Pb 3.08, 4 Sc 3.15
Sc  0.0000  0.0000  0.5000  4 Pb 3.08, 4 Sc 3.15
Pb  0.5000  0.0000  0.2225  5 Li 2.89-3.20, 4 Sc 3.08
Pb  0.0000  0.5000  0.7775  5 Li 2.89-3.20, 4 Sc 3.08

Its space group is P4/nmm. For the calculated formation energy, the calculation gives -0.15 eV/atom. The density of states at the Fermi level comes out at 5.6 states/eV per cell.